No. 1
# NiAsF2

A geometry-optimized NiAsF2 structure (PBE+U, Alexandria).

abc: 2.8303 2.8303 22.7757
angles: 90.00 90.00 120.00
Space group R-3m (No. 166, hexagonal axes)
Symmetry-distinct sites (fractional):
1 Ni 0.0000 0.0000 0.0000 (multiplicity 3)
2 As 0.0000 0.0000 0.5000 (multiplicity 3)
3 F 0.0000 0.0000 0.0844 (multiplicity 6)

Summary:
Crystal system = trigonal
ΔE to the lowest computed polymorph = 551 meV per atom

No. 2
# Ni2AsF

A geometry-optimized Ni2AsF structure (PBE+U, Alexandria).

abc: 5.680 5.680 5.680
angles: 90.00 90.00 90.00
Space group Fm-3m (No. 225)
Symmetry-distinct sites (fractional):
1 Ni 0.250 0.250 0.250 (multiplicity 8)
2 As 0.000 0.000 0.000 (multiplicity 4)
3 F 0.000 0.000 0.500 (multiplicity 4)

Summary:
Crystal system = cubic
ΔE to the lowest computed polymorph = 455 meV per atom

No. 3
# Ni3AsF

A geometry-optimized Ni3AsF structure (PBE+U, Alexandria).

abc: 4.105 4.105 4.105
angles: 90.00 90.00 90.00
Space group Pm-3m (No. 221)
Symmetry-distinct sites (fractional):
1 Ni 0.000 0.000 0.500 (multiplicity 3)
2 As 0.500 0.500 0.500 (multiplicity 1)
3 F 0.000 0.000 0.000 (multiplicity 1)

Summary:
Crystal system = cubic
ΔE to the lowest computed polymorph = 0 meV per atom

No. 4
# NiAsF2

A geometry-optimized NiAsF2 structure (PBE+U, Alexandria).

abc: 5.954 5.954 5.954
angles: 90.00 90.00 90.00
Space group Fm-3m (No. 225)
Symmetry-distinct sites (fractional):
1 Ni 0.000 0.000 0.000 (multiplicity 4)
2 As 0.000 0.000 0.500 (multiplicity 4)
3 F 0.250 0.250 0.250 (multiplicity 8)

Summary:
Crystal system = cubic
ΔE to the lowest computed polymorph = 1009 meV per atom

No. 5
# NiAsO2F

A geometry-optimized NiAsO2F structure (PBE+U, Alexandria).

abc: 3.953 3.953 4.040
angles: 90.00 90.00 90.00
Space group P4/mmm (No. 123)
Symmetry-distinct sites (fractional):
1 Ni 0.000 0.000 0.000 (multiplicity 1)
2 As 0.500 0.500 0.500 (multiplicity 1)
3 O 0.000 0.500 0.500 (multiplicity 2)
4 F 0.500 0.500 0.000 (multiplicity 1)

Summary:
Crystal system = tetragonal
Raw total energy = -21.3 eV per formula unit

No. 6
# NiAsO2F

A geometry-optimized NiAsO2F structure (PBE+U, Alexandria).

abc: 3.884 3.884 3.748
angles: 90.00 90.00 90.00
Space group P4/mmm (No. 123)
Symmetry-distinct sites (fractional):
1 Ni 0.000 0.000 0.000 (multiplicity 1)
2 As 0.500 0.500 0.500 (multiplicity 1)
3 O 0.000 0.500 0.000 (multiplicity 2)
4 F 0.000 0.000 0.500 (multiplicity 1)

Summary:
Crystal system = tetragonal
Raw total energy = -21.8 eV per formula unit

No. 7
# RbNiAs2F

A geometry-optimized RbNiAs2F structure (PBE+U, Alexandria).

abc: 5.668 5.668 4.552
angles: 90.00 90.00 90.00
Space group P4/mmm (No. 123)
Symmetry-distinct sites (fractional):
1 Rb 0.000 0.000 0.000 (multiplicity 1)
2 Ni 0.500 0.500 0.500 (multiplicity 1)
3 As 0.000 0.500 0.000 (multiplicity 2)
4 F 0.000 0.000 0.500 (multiplicity 1)

Summary:
Crystal system = tetragonal
Raw total energy = -7.9 eV per formula unit

No. 8
# RbNiAsF6

A geometry-optimized RbNiAsF6 structure (PBE+U, Alexandria).

abc: 5.517 5.519 5.914
angles: 90.06 90.59 118.92
Space group P1 (No. 1)
Symmetry-distinct sites (fractional):
1 Rb 0.000 0.000 0.000 (multiplicity 1)
2 Ni 0.332 0.669 0.490 (multiplicity 1)
3 As 0.667 0.332 0.497 (multiplicity 1)
4 F 0.031 0.378 0.677 (multiplicity 1)
5 F 0.349 0.984 0.672 (multiplicity 1)
6 F 0.404 0.393 0.299 (multiplicity 1)
7 F 0.596 0.002 0.295 (multiplicity 1)
8 F 0.638 0.652 0.668 (multiplicity 1)
9 F 0.983 0.589 0.297 (multiplicity 1)

Summary:
Crystal system = triclinic
Raw total energy = -39.9 eV per formula unit

No. 9
# Re2NiAsF

A geometry-optimized Re2NiAsF structure (PBE+U, Alexandria).

abc: 4.625 4.625 4.256
angles: 90.00 90.00 90.00
Space group P4/mmm (No. 123)
Symmetry-distinct sites (fractional):
1 Re 0.000 0.500 0.000 (multiplicity 2)
2 Ni 0.000 0.000 0.000 (multiplicity 1)
3 As 0.000 0.000 0.500 (multiplicity 1)
4 F 0.500 0.500 0.500 (multiplicity 1)

Summary:
Crystal system = tetragonal
Raw total energy = -25.0 eV per formula unit

No. 10
# NiAsSe2F

A geometry-optimized NiAsSe2F structure (PBE+U, Alexandria).

abc: 4.559 4.559 4.637
angles: 90.00 90.00 90.00
Space group P4/mmm (No. 123)
Symmetry-distinct sites (fractional):
1 Ni 0.000 0.000 0.000 (multiplicity 1)
2 As 0.000 0.000 0.500 (multiplicity 1)
3 Se 0.000 0.500 0.000 (multiplicity 2)
4 F 0.500 0.500 0.500 (multiplicity 1)

Summary:
Crystal system = tetragonal
ΔE to the lowest computed polymorph = 0 meV per atom

No. 11
# NiAsSe2F

A geometry-optimized NiAsSe2F structure (PBE+U, Alexandria).

abc: 5.050 5.050 3.972
angles: 90.00 90.00 90.00
Space group P4/mmm (No. 123)
Symmetry-distinct sites (fractional):
1 Ni 0.000 0.000 0.000 (multiplicity 1)
2 As 0.500 0.500 0.000 (multiplicity 1)
3 Se 0.000 0.500 0.500 (multiplicity 2)
4 F 0.500 0.500 0.500 (multiplicity 1)

Summary:
Crystal system = tetragonal
ΔE to the lowest computed polymorph = 216 meV per atom

No. 12
# SiNi2AsF

A geometry-optimized SiNi2AsF structure (PBE+U, Alexandria).

abc: 3.926 3.926 5.026
angles: 90.00 90.00 90.00
Space group P4/mmm (No. 123)
Symmetry-distinct sites (fractional):
1 Si 0.000 0.000 0.000 (multiplicity 1)
2 Ni 0.000 0.500 0.500 (multiplicity 2)
3 As 0.500 0.500 0.000 (multiplicity 1)
4 F 0.500 0.500 0.500 (multiplicity 1)

Summary:
Crystal system = tetragonal
Raw total energy = -15.7 eV per formula unit